DFT (PBE-GGA) results for an optimized crystal structure of La2MgCd5.

```
data_La2MgCd5
_space_group_name_H-M_alt 'P 1'
_space_group_IT_number 1
_space_group_name_Hall 'P 1'
_cell_length_a 9.2647
_cell_length_b 9.2647
_cell_length_c 10.1021
_cell_angle_alpha 90.00
_cell_angle_beta 90.00
_cell_angle_gamma 149.97
loop_
_atom_site_label
_atom_site_fract_x
_atom_site_fract_y
_atom_site_fract_z
La1 0.0000 0.0000 0.0000
La2 0.0000 0.0000 0.5000
La3 0.1996 0.8004 0.7500
La4 0.8004 0.1996 0.2500
Mg1 0.4492 0.5508 0.2500
Mg2 0.5508 0.4492 0.7500
Cd1 0.1908 0.8092 0.1047
Cd2 0.1908 0.8092 0.3953
Cd3 0.3562 0.6438 0.0284
Cd4 0.3562 0.6438 0.4716
Cd5 0.3962 0.6038 0.7500
Cd6 0.6038 0.3962 0.2500
Cd7 0.6438 0.3562 0.5284
Cd8 0.6438 0.3562 0.9716
Cd9 0.8092 0.1908 0.6047
Cd10 0.8092 0.1908 0.8953
```

Total DFT energy (no corrections): -2.248 eV per atom
D(E_F): 15.06 states/eV/cell
E_form: -0.245 eV per atom

=====

DFT (PBE-GGA) results for an optimized crystal structure of Pu2Np3N8.

```
data_Pu2Np3N8
_space_group_name_H-M_alt 'P 1'
_space_group_IT_number 1
_space_group_name_Hall 'P 1'
_cell_length_a 6.3734
_cell_length_b 3.6066
_cell_length_c 8.9163
_cell_angle_alpha 90.00
_cell_angle_beta 106.76
_cell_angle_gamma 90.00
loop_
_atom_site_label
_atom_site_fract_x
_atom_site_fract_y
_atom_site_fract_z
Pu1 0.2351 0.0000 0.1797
Pu2 0.7649 0.0000 0.8203
Np1 0.0000 0.0000 0.5000
Np2 0.2645 0.5000 0.8309
Np3 0.7355 0.5000 0.1691
N1 0.0553 0.5000 0.3437
N2 0.1365 0.0000 0.9186
N3 0.3015 0.0000 0.6786
N4 0.3858 0.5000 0.1096
N5 0.6142 0.5000 0.8904
N6 0.6985 0.0000 0.3214
N7 0.8635 0.0000 0.0814
N8 0.9447 0.5000 0.6563
```

Total DFT energy (no corrections): -11.320 eV per atom
E_form (uncorrected): -1.006 eV per atom
D(E_F): 23.48 states/eV/cell

=====

DFT (PBE-GGA) results for an optimized crystal structure of BaHoAlTe4.

```
data_BaHoAlTe4
_space_group_name_H-M_alt 'P 1'
_space_group_IT_number 1
_space_group_name_Hall 'P 1'
_cell_length_a 7.2801
_cell_length_b 7.6686
_cell_length_c 9.2611
_cell_angle_alpha 90.00
_cell_angle_beta 107.33
_cell_angle_gamma 90.00
loop_
_atom_site_label
_atom_site_fract_x
_atom_site_fract_y
_atom_site_fract_z
Ba1 0.2238 0.2500 0.0519
Ba2 0.7762 0.7500 0.9481
Ho1 0.2316 0.2500 0.5576
Ho2 0.7684 0.7500 0.4424
Al1 0.2321 0.7500 0.3282
Al2 0.7679 0.2500 0.6718
Te1 0.0150 0.5098 0.7172
Te2 0.0150 0.9902 0.7172
Te3 0.4271 0.7500 0.1349
Te4 0.4567 0.7500 0.6011
Te5 0.5433 0.2500 0.3989
Te6 0.5729 0.2500 0.8651
Te7 0.9850 0.0098 0.2828
Te8 0.9850 0.4902 0.2828
```

Total DFT energy (no corrections): -4.379 eV per atom
E_form (uncorrected): -1.121 eV per atom

=====

DFT (PBE-GGA) results for an optimized crystal structure of ZrCrGe.

```
data_ZrCrGe
_space_group_name_H-M_alt 'P 1'
_space_group_IT_number 1
_space_group_name_Hall 'P 1'
_cell_length_a 7.7677
_cell_length_b 7.7677
_cell_length_c 7.7677
_cell_angle_alpha 30.15
_cell_angle_beta 30.15
_cell_angle_gamma 30.15
loop_
_atom_site_label
_atom_site_fract_x
_atom_site_fract_y
_atom_site_fract_z
Zr1 0.0000 0.0000 0.0000
Zr2 0.4640 0.4640 0.4640
Cr1 0.2389 0.2389 0.2389
Cr2 0.5956 0.5956 0.5956
Ge1 0.7284 0.7284 0.7284
Ge2 0.8703 0.8703 0.8703
```

Total DFT energy (no corrections): -7.955 eV per atom
D(E_F): 1.16 states/eV/cell
E_form: -0.358 eV per atom

=====

DFT (PBE-GGA) results for an optimized crystal structure of CaCuH3.

```
data_CaCuH3
_space_group_name_H-M_alt 'P 1'
_space_group_IT_number 1
_space_group_name_Hall 'P 1'
_cell_length_a 3.6131
_cell_length_b 3.6131
_cell_length_c 3.6131
_cell_angle_alpha 90.00
_cell_angle_beta 90.00
_cell_angle_gamma 90.00
loop_
_atom_site_label
_atom_site_fract_x
_atom_site_fract_y
_atom_site_fract_z
Ca1 0.0000 0.0000 0.0000
Cu1 0.5000 0.5000 0.5000
H1 0.0000 0.5000 0.5000
H2 0.5000 0.0000 0.5000
H3 0.5000 0.5000 0.0000
```

Total DFT energy (no corrections): -3.544 eV per atom
D(E_F): 0.10 states/eV/cell

=====

DFT (PBE-GGA) results for an optimized crystal structure of LiNdErSc.

```
data_LiNdErSc
_space_group_name_H-M_alt 'P 1'
_space_group_IT_number 1
_space_group_name_Hall 'P 1'
_cell_length_a 5.3827
_cell_length_b 5.3827
_cell_length_c 5.3827
_cell_angle_alpha 60.00
_cell_angle_beta 60.00
_cell_angle_gamma 60.00
loop_
_atom_site_label
_atom_site_fract_x
_atom_site_fract_y
_atom_site_fract_z
Li1 0.0000 0.0000 0.0000
Nd1 0.2500 0.2500 0.2500
Er1 0.7500 0.7500 0.7500
Sc1 0.5000 0.5000 0.5000
```

Total DFT energy (no corrections): -4.244 eV per atom
D(E_F): 4.27 states/eV/cell
E_form: 0.150 eV per atom

=====

DFT (PBE-GGA) results for an optimized crystal structure of TiCuTeN2.

```
data_TiCuTeN2
_space_group_name_H-M_alt 'P 1'
_space_group_IT_number 1
_space_group_name_Hall 'P 1'
_cell_length_a 3.8432
_cell_length_b 3.8432
_cell_length_c 5.9769
_cell_angle_alpha 90.00
_cell_angle_beta 90.00
_cell_angle_gamma 90.00
loop_
_atom_site_label
_atom_site_fract_x
_atom_site_fract_y
_atom_site_fract_z
Ti1 0.0000 0.0000 0.0000
Cu1 0.5000 0.5000 0.5000
Te1 0.0000 0.0000 0.5000
N1 0.0000 0.5000 0.0000
N2 0.5000 0.0000 0.0000
```

Total DFT energy (no corrections): -5.939 eV per atom
E_form (uncorrected): 0.417 eV per atom
E above lowest polymorph: 0.000 eV per atom
D(E_F): 3.10 states/eV/cell

=====

DFT (PBE-GGA) results for an optimized crystal structure of PmNdGa4.

```
data_PmNdGa4
_space_group_name_H-M_alt 'P 1'
_space_group_IT_number 1
_space_group_name_Hall 'P 1'
_cell_length_a 4.2720
_cell_length_b 4.2720
_cell_length_c 8.5583
_cell_angle_alpha 90.00
_cell_angle_beta 90.00
_cell_angle_gamma 120.00
loop_
_atom_site_label
_atom_site_fract_x
_atom_site_fract_y
_atom_site_fract_z
Pm1 0.0000 0.0000 0.0000
Nd1 0.0000 0.0000 0.5000
Ga1 0.3333 0.6667 0.2483
Ga2 0.3333 0.6667 0.7517
Ga3 0.6667 0.3333 0.2483
Ga4 0.6667 0.3333 0.7517
```

Total DFT energy (no corrections): -4.297 eV per atom
E above lowest polymorph: 0.000 eV per atom
D(E_F): 3.18 states/eV/cell
E_form: -0.693 eV per atom

=====

DFT (PBE-GGA) results for an optimized crystal structure of SiTe2As.

```
data_SiTe2As
_space_group_name_H-M_alt 'P 1'
_space_group_IT_number 1
_space_group_name_Hall 'P 1'
_cell_length_a 8.0473
_cell_length_b 8.0473
_cell_length_c 8.0473
_cell_angle_alpha 151.66
_cell_angle_beta 151.66
_cell_angle_gamma 40.50
loop_
_atom_site_label
_atom_site_fract_x
_atom_site_fract_y
_atom_site_fract_z
Si1 0.0000 0.0000 0.0000
Te1 0.2500 0.7500 0.5000
Te2 0.5000 0.5000 0.0000
As1 0.7500 0.2500 0.5000
```

Total DFT energy (no corrections): -3.609 eV per atom
E_form (uncorrected): 0.480 eV per atom
E above lowest polymorph: 0.348 eV per atom
D(E_F): 2.00 states/eV/cell

=====

DFT (PBE-GGA) results for an optimized crystal structure of DyEr2ScSe6.

```
data_DyEr2ScSe6
_space_group_name_H-M_alt 'P 1'
_space_group_IT_number 1
_space_group_name_Hall 'P 1'
_cell_length_a 7.5786
_cell_length_b 7.5786
_cell_length_c 7.5786
_cell_angle_alpha 55.56
_cell_angle_beta 55.56
_cell_angle_gamma 55.56
loop_
_atom_site_label
_atom_site_fract_x
_atom_site_fract_y
_atom_site_fract_z
Dy1 0.0000 0.0000 0.0000
Er1 0.3037 0.3037 0.3037
Er2 0.8062 0.8062 0.8062
Sc1 0.4968 0.4968 0.4968
Se1 0.1050 0.7062 0.4031
Se2 0.2238 0.5963 0.8863
Se3 0.4031 0.1050 0.7062
Se4 0.5963 0.8863 0.2238
Se5 0.7062 0.4031 0.1050
Se6 0.8863 0.2238 0.5963
```

Total DFT energy (no corrections): -5.891 eV per atom
E_form (uncorrected): -1.795 eV per atom
D(E_F): 0.00 states/eV/cell

=====

DFT (PBE-GGA) results for an optimized crystal structure of LiTaIn2Re.

```
data_LiTaIn2Re
_space_group_name_H-M_alt 'P 1'
_space_group_IT_number 1
_space_group_name_Hall 'P 1'
_cell_length_a 5.4638
_cell_length_b 5.4638
_cell_length_c 4.8149
_cell_angle_alpha 90.00
_cell_angle_beta 90.00
_cell_angle_gamma 90.00
loop_
_atom_site_label
_atom_site_fract_x
_atom_site_fract_y
_atom_site_fract_z
Li1 0.0000 0.0000 0.0000
Ta1 0.5000 0.5000 0.5000
In1 0.0000 0.5000 0.5000
In2 0.5000 0.0000 0.5000
Re1 0.5000 0.5000 0.0000
```

Total DFT energy (no corrections): -5.252 eV per atom
D(E_F): 3.80 states/eV/cell
E_form: 1.086 eV per atom

=====

DFT (PBE-GGA) results for an optimized crystal structure of AcScBi2O6.

```
data_AcScBi2O6
_space_group_name_H-M_alt 'P 1'
_space_group_IT_number 1
_space_group_name_Hall 'P 1'
_cell_length_a 6.0836
_cell_length_b 6.0892
_cell_length_c 6.1700
_cell_angle_alpha 90.05
_cell_angle_beta 119.50
_cell_angle_gamma 119.94
loop_
_atom_site_label
_atom_site_fract_x
_atom_site_fract_y
_atom_site_fract_z
Ac1 0.0000 0.0000 0.0000
Sc1 0.0317 0.5157 0.5468
Bi1 0.4468 0.2236 0.6696
Bi2 0.4530 0.7264 0.1802
O1 0.1968 0.8020 0.3698
O2 0.2450 0.8833 0.8548
O3 0.4939 0.6097 0.8542
O4 0.5680 0.3938 0.3705
O5 0.9719 0.3616 0.8551
O6 0.9768 0.1738 0.3704
```

Total DFT energy (no corrections): -7.062 eV per atom
E_form (uncorrected): -2.267 eV per atom
D(E_F): 0.00 states/eV/cell

=====

The magnetic moment results, record by record, are as follows: 0.00, 13.00, 0.00, 0.11, 0.00, 0.00, 0.00, 0.00, 0.00, 0.00, 1.86, 0.00 μB per cell.
The theoretical density results, record by record, are as follows: 6614, 11093, 5650, 6844, 3754, 5472, 5023, 6975, 5077, 6109, 6975, 8012 kg/m3.